# 1
## Sr3ScNb (PBE-GGA)

Data for a relaxed Sr3ScNb crystal.

Results
Polymorph energy (0 for the lowest one) in eV/atom: 0.554
Spin magnetization in μB per atom: 0.00
ΔH_f (0 K) in eV/atom: 1.63

Unit cell a=5.852 b=5.852 c=5.852 alpha=90.00 beta=90.00 gamma=90.00
Element x y z (fractional)
Sc: 0.000 0.000 0.000
Sr: 0.000 0.500 0.000
Sr: 0.000 0.000 0.500
Sr: 0.500 0.000 0.000
Nb: 0.500 0.500 0.500

=====

# 2
## Ta2RuSe (PBE-GGA)

Data for a relaxed Ta2RuSe crystal.

Results
Raw formation energy in eV per atom: -0.043
Spin magnetization in μB per atom: 0.00

Unit cell a=3.914 b=3.042 c=5.893 alpha=72.99 beta=90.00 gamma=90.00
Element x y z (fractional)
Ru: 0.500 0.250 0.250
Se: 0.500 0.750 0.750
Ta: 0.000 0.974 0.011
Ta: 0.000 0.526 0.489

=====

# 3
## Na2GeCl4 (PBE-GGA)

Data for a relaxed Na2GeCl4 crystal.

Results
Raw formation energy in eV per atom: -1.362
Polymorph energy (0 for the lowest one) in eV/atom: 0.000
Spin magnetization in μB per atom: 0.00

Unit cell a=8.147 b=8.147 c=11.662 alpha=90.00 beta=90.00 gamma=90.00
Element x y z (fractional)
Na: 0.751 0.751 0.875
Na: 0.249 0.751 0.125
Na: 0.751 0.249 0.625
Na: 0.249 0.249 0.375
Na: 0.755 0.500 0.250
Na: 0.500 0.245 0.000
Na: 0.500 0.755 0.500
Na: 0.245 0.500 0.750
Ge: 0.000 0.740 0.500
Ge: 0.260 0.000 0.750
Ge: 0.740 0.000 0.250
Ge: 0.000 0.260 0.000
Cl: 0.250 0.989 0.518
Cl: 0.750 0.989 0.482
Cl: 0.011 0.250 0.768
Cl: 0.750 0.011 0.018
Cl: 0.235 0.473 0.996
Cl: 0.527 0.235 0.246
Cl: 0.473 0.765 0.746
Cl: 0.235 0.527 0.504
Cl: 0.765 0.473 0.004
Cl: 0.765 0.527 0.496
Cl: 0.473 0.235 0.754
Cl: 0.527 0.765 0.254
Cl: 0.989 0.250 0.232
Cl: 0.250 0.011 0.982
Cl: 0.989 0.750 0.268
Cl: 0.011 0.750 0.732